No. 1
# ScVRu | the Alexandria database | PBE-GGA | optimized geometry
# Calculated formation energy (eV per atom): -0.3436
# Crystal system: orthorhombic
# Distance to the lowest polymorph of the same formula (eV/f.u.): 0.00
data_ScVRu
_chemical_formula_sum 'Sc4 V4 Ru4'
_space_group_name_H-M_alt 'P 1'
_space_group_IT_number 1
_space_group_name_Hall 'P 1'
_cell_length_a 3.1343
_cell_length_b 13.7289
_cell_length_c 4.4196
_cell_angle_alpha 90.00
_cell_angle_beta 90.00
_cell_angle_gamma 90.00
loop_
_atom_site_label
_atom_site_type_symbol
_atom_site_fract_x
_atom_site_fract_y
_atom_site_fract_z
_atom_site_occupancy
Sc1 Sc 0.0000 0.0818 0.2500 1
Ru1 Ru 0.5000 0.9054 0.2500 1
Sc2 Sc 0.5000 0.4182 0.7500 1
Ru2 Ru 0.0000 0.5946 0.7500 1
Ru3 Ru 0.0000 0.4054 0.2500 1
Ru4 Ru 0.5000 0.0946 0.7500 1
Sc3 Sc 0.0000 0.9182 0.7500 1
V1 V 0.5000 0.2615 0.2500 1
V2 V 0.0000 0.2385 0.7500 1
V3 V 0.0000 0.7615 0.2500 1
Sc4 Sc 0.5000 0.5818 0.2500 1
V4 V 0.5000 0.7385 0.7500 1

No. 2
# KSr2NpCl8 | the Alexandria database | PBE-GGA | optimized geometry
# Raw formation energy (kcal/mol of atoms): -48.99
# Crystal system: monoclinic
data_KSr2NpCl8
_chemical_formula_sum 'K1 Sr2 Np1 Cl8'
_space_group_name_H-M_alt 'P 1'
_space_group_IT_number 1
_space_group_name_Hall 'P 1'
_cell_length_a 6.7536
_cell_length_b 6.7216
_cell_length_c 9.0540
_cell_angle_alpha 90.00
_cell_angle_beta 90.00
_cell_angle_gamma 90.18
loop_
_atom_site_label
_atom_site_type_symbol
_atom_site_fract_x
_atom_site_fract_y
_atom_site_fract_z
_atom_site_occupancy
Cl1 Cl 0.6467 0.7208 0.5000 1
Cl2 Cl 0.3533 0.2792 0.5000 1
Sr1 Sr 0.5000 0.5000 0.2535 1
Cl3 Cl 0.6793 0.7324 0.0000 1
Cl4 Cl 0.8363 0.2291 0.2171 1
Cl5 Cl 0.8363 0.2292 0.7829 1
K1 K 0.0000 0.0000 0.5000 1
Sr2 Sr 0.5000 0.5000 0.7465 1
Np1 Np 0.0000 0.0000 0.0000 1
Cl6 Cl 0.1637 0.7708 0.2171 1
Cl7 Cl 0.1637 0.7709 0.7829 1
Cl8 Cl 0.3207 0.2676 0.0000 1

No. 3
# RbCr2FeSn | the Alexandria database | PBE-GGA | optimized geometry
# Calculated formation energy (eV per atom): 1.4053
# Crystal system: tetragonal
data_RbCr2FeSn
_chemical_formula_sum 'Rb1 Cr2 Fe1 Sn1'
_space_group_name_H-M_alt 'P 1'
_space_group_IT_number 1
_space_group_name_Hall 'P 1'
_cell_length_a 4.9762
_cell_length_b 4.9507
_cell_length_c 4.9762
_cell_angle_alpha 90.00
_cell_angle_beta 90.00
_cell_angle_gamma 90.00
loop_
_atom_site_label
_atom_site_type_symbol
_atom_site_fract_x
_atom_site_fract_y
_atom_site_fract_z
_atom_site_occupancy
Fe1 Fe 0.0000 0.0000 0.0000 1
Cr1 Cr 0.0000 0.0000 0.5000 1
Sn1 Sn 0.0000 0.5000 0.0000 1
Cr2 Cr 0.5000 0.0000 0.0000 1
Rb1 Rb 0.5000 0.5000 0.5000 1

No. 4
# Rb2Li2HfO4 | the Alexandria database | PBE-GGA | optimized geometry
# Raw formation energy (kcal/mol of atoms): -51.56
# Crystal system: monoclinic
data_Rb2Li2HfO4
_chemical_formula_sum 'Rb2 Li2 Hf1 O4'
_space_group_name_H-M_alt 'P 1'
_space_group_IT_number 1
_space_group_name_Hall 'P 1'
_cell_length_a 3.3463
_cell_length_b 6.5727
_cell_length_c 6.3822
_cell_angle_alpha 108.91
_cell_angle_beta 105.20
_cell_angle_gamma 90.00
loop_
_atom_site_label
_atom_site_type_symbol
_atom_site_fract_x
_atom_site_fract_y
_atom_site_fract_z
_atom_site_occupancy
Rb1 Rb 0.1417 0.5669 0.2833 1
O1 O 0.5155 0.8018 0.0309 1
Hf1 Hf 0.0000 0.0000 0.0000 1
O2 O 0.1812 0.1253 0.3624 1
Li1 Li 0.3194 0.0168 0.6388 1
O3 O 0.4845 0.1982 0.9691 1
Rb2 Rb 0.8583 0.4331 0.7167 1
O4 O 0.8188 0.8747 0.6376 1
Li2 Li 0.6806 0.9832 0.3612 1

No. 5
# AcTb2PmHo5 | the Alexandria database | PBE-GGA | optimized geometry
# Calculated formation energy (eV per atom): 0.2673
# Crystal system: tetragonal
data_AcTb2PmHo5
_chemical_formula_sum 'Ac2 Tb4 Pm2 Ho10'
_space_group_name_H-M_alt 'P 1'
_space_group_IT_number 1
_space_group_name_Hall 'P 1'
_cell_length_a 8.9015
_cell_length_b 8.9015
_cell_length_c 9.8908
_cell_angle_alpha 116.74
_cell_angle_beta 116.74
_cell_angle_gamma 90.00
loop_
_atom_site_label
_atom_site_type_symbol
_atom_site_fract_x
_atom_site_fract_y
_atom_site_fract_z
_atom_site_occupancy
Pm1 Pm 0.7500 0.2500 0.5000 1
Ho1 Ho 0.1693 0.0748 0.7441 1
Tb1 Tb 0.1148 0.3852 0.0000 1
Tb2 Tb 0.8852 0.6148 0.0000 1
Ho2 Ho 0.0000 0.0000 0.0000 1
Pm2 Pm 0.2500 0.7500 0.5000 1
Ho3 Ho 0.4252 0.3307 0.2559 1
Ho4 Ho 0.3307 0.8307 0.2559 1
Ho5 Ho 0.9252 0.4252 0.2559 1
Tb3 Tb 0.3852 0.8852 0.0000 1
Ho6 Ho 0.8307 0.9252 0.2559 1
Ho7 Ho 0.6693 0.1693 0.7441 1
Ho8 Ho 0.0748 0.5748 0.7441 1
Tb4 Tb 0.6148 0.1148 0.0000 1
Ac1 Ac 0.2500 0.2500 0.5000 1
Ho9 Ho 0.5748 0.6693 0.7441 1
Ho10 Ho 0.5000 0.5000 0.0000 1
Ac2 Ac 0.7500 0.7500 0.5000 1

No. 6
# Li2SmPuAu4 | the Alexandria database | PBE-GGA | optimized geometry
# Calculated formation energy (eV per atom): -0.5765
# Crystal system: trigonal
data_Li2SmPuAu4
_chemical_formula_sum 'Li2 Sm1 Pu1 Au4'
_space_group_name_H-M_alt 'P 1'
_space_group_IT_number 1
_space_group_name_Hall 'P 1'
_cell_length_a 4.5666
_cell_length_b 4.5666
_cell_length_c 9.8063
_cell_angle_alpha 76.54
_cell_angle_beta 76.54
_cell_angle_gamma 60.00
loop_
_atom_site_label
_atom_site_type_symbol
_atom_site_fract_x
_atom_site_fract_y
_atom_site_fract_z
_atom_site_occupancy
Au1 Au 0.6096 0.6096 0.1711 1
Li1 Li 0.2501 0.2501 0.2497 1
Au2 Au 0.8902 0.8902 0.3293 1
Sm1 Sm 0.5000 0.5000 0.5000 1
Li2 Li 0.7499 0.7499 0.7503 1
Pu1 Pu 0.0000 0.0000 0.0000 1
Au3 Au 0.1098 0.1098 0.6707 1
Au4 Au 0.3904 0.3904 0.8289 1

| no. | VASP energy (eV per atom) |
| --- | --- |
| 1 | -8.586 |
| 2 | -4.806 |
| 3 | -5.131 |
| 4 | -6.186 |
| 5 | -4.289 |
| 6 | -5.075 |